(1)
First-principles (PBEsol) data for CaCoTe after structural relaxation, as listed in the Alexandria database.

Cell and atoms, written as POSCAR:
```
CaCoTe
1.0
4.191 0.000 0.000
-2.096 3.630 0.000
0.000 0.000 4.245
Te Ca Co
1 1 1
direct
0.333 0.667 0.500
0.000 0.000 0.000
0.667 0.333 0.500
```

**Offset from the most stable computed form**: 0.00 kcal/mol of atoms
**Volume**: 65 Å³/cell
**ΔE_f (raw)**: -0.58 eV per atom

(2)
First-principles (PBEsol) data for Ba2TlCu after structural relaxation, as listed in the Alexandria database.

Cell and atoms, written as POSCAR:
```
Ba2TlCu
1.0
-2.258 -0.881 -3.148
2.299 -5.319 -0.161
-4.180 -1.914 3.534
Ba Tl Cu
2 1 1
direct
0.000 0.000 0.124
0.000 0.500 0.628
0.500 0.500 0.129
0.500 0.000 0.619
```

**Energy of formation**: -0.11 eV/atom
**Volume**: 134 Å³/cell

(3)
First-principles (PBEsol) data for TiNO2 after structural relaxation, as listed in the Alexandria database.

Cell and atoms, written as POSCAR:
```
TiNO2
1.0
5.903 0.000 0.000
2.951 5.112 0.000
2.951 1.704 4.820
Ti N O
2 2 4
direct
0.750 0.750 0.750
0.500 0.500 0.500
0.250 0.250 0.250
0.000 0.000 0.000
0.125 0.625 0.625
0.625 0.125 0.625
0.625 0.625 0.125
0.625 0.625 0.625
```

**Volume**: 145 Å³/cell
**ΔE_f (raw)**: -0.89 eV per atom

(4)
First-principles (PBEsol) data for GeW2Br after structural relaxation, as listed in the Alexandria database.

Cell and atoms, written as POSCAR:
```
GeW2Br
1.0
-0.037 2.797 3.442
-0.188 -1.580 4.139
3.542 0.300 2.651
Ge W Br
1 2 1
direct
0.000 0.000 0.000
0.750 0.750 0.750
0.250 0.250 0.250
0.500 0.500 0.500
```

**Volume**: 62 Å³/cell
**ΔE_f (raw)**: 0.88 eV per atom

(5)
First-principles (PBEsol) data for BaPO3 after structural relaxation, as listed in the Alexandria database.

Cell and atoms, written as POSCAR:
```
BaPO3
1.0
-1.533 -2.745 -2.295
-2.070 -1.357 3.005
-2.919 2.404 -0.925
O Ba P
3 1 1
direct
0.500 0.000 0.500
0.500 0.500 0.000
0.000 0.500 0.500
0.000 0.000 0.000
0.500 0.500 0.500
```

**Volume**: 59 Å³/cell
**ΔE_f (raw)**: -1.91 eV per atom

(6)
First-principles (PBEsol) data for KNaZrSi3H4O11 after structural relaxation, as listed in the Alexandria database.

Cell and atoms, written as POSCAR:
```
KNaZrSi3H4O11
1.0
-0.786 5.002 4.454
4.317 -6.915 8.528
12.008 4.239 -2.641
Si O Zr Na H K
12 44 4 4 16 4
direct
0.890 0.998 0.084
0.387 0.280 0.288
0.610 0.998 0.584
0.390 0.498 0.416
0.146 0.714 0.389
0.113 0.280 0.788
0.854 0.214 0.611
0.887 0.780 0.212
0.646 0.214 0.111
0.354 0.714 0.889
0.110 0.498 0.916
0.613 0.780 0.712
0.587 0.575 0.429
0.974 0.017 0.372
0.343 0.781 0.426
0.096 0.742 0.268
0.452 0.235 0.042
0.297 0.269 0.709
0.869 0.482 0.293
0.306 0.576 0.889
0.157 0.423 0.018
0.026 0.517 0.628
0.596 0.242 0.232
0.904 0.242 0.732
0.419 0.417 0.314
0.703 0.769 0.291
0.694 0.076 0.111
0.157 0.781 0.926
0.343 0.423 0.518
0.806 0.076 0.611
0.860 0.713 0.105
0.140 0.213 0.895
0.913 0.575 0.929
0.657 0.923 0.482
0.952 0.735 0.458
0.081 0.417 0.814
0.203 0.269 0.209
0.631 0.482 0.793
0.843 0.923 0.982
0.087 0.075 0.071
0.413 0.075 0.571
0.548 0.735 0.958
0.526 0.017 0.872
0.797 0.769 0.791
0.843 0.281 0.074
0.369 0.982 0.207
0.131 0.982 0.707
0.657 0.281 0.574
0.581 0.917 0.686
0.404 0.742 0.768
0.640 0.713 0.605
0.194 0.576 0.389
0.048 0.235 0.542
0.474 0.517 0.128
0.360 0.213 0.395
0.919 0.917 0.186
0.148 0.249 0.054
0.352 0.249 0.554
0.852 0.749 0.946
0.648 0.749 0.446
0.823 0.499 0.111
0.677 0.499 0.611
0.323 0.999 0.389
0.177 0.999 0.889
0.237 0.015 0.662
0.763 0.515 0.338
0.007 0.013 0.677
0.507 0.513 0.823
0.993 0.513 0.323
0.448 0.484 0.197
0.052 0.484 0.697
0.370 0.483 0.083
0.948 0.984 0.303
0.493 0.013 0.177
0.737 0.515 0.838
0.263 0.015 0.162
0.630 0.983 0.917
0.552 0.984 0.803
0.130 0.483 0.583
0.870 0.983 0.417
0.414 0.751 0.149
0.914 0.251 0.351
0.086 0.751 0.649
0.586 0.251 0.851
```

**Total DFT energy (no corrections)**: -7.0764 eV/atom
**Volume**: 1035 Å³/cell

(7)
First-principles (PBEsol) data for RbCuSn2 after structural relaxation, as listed in the Alexandria database.

Cell and atoms, written as POSCAR:
```
RbCuSn2
1.0
-1.184 -4.782 -1.630
-1.763 -3.529 3.372
-4.958 -1.523 -0.192
Cu Rb Sn
1 1 2
direct
0.000 0.000 0.000
0.500 0.500 0.500
0.250 0.250 0.250
0.750 0.750 0.750
```

**Energy of formation**: 0.40 eV/atom
**Volume**: 99 Å³/cell

(8)
First-principles (PBEsol) data for K2RbTiF6 after structural relaxation, as listed in the Alexandria database.

Cell and atoms, written as POSCAR:
```
K2RbTiF6
1.0
6.414 0.000 0.000
3.207 5.555 0.000
3.207 1.852 5.237
F Ti Rb K
6 1 1 2
direct
0.784 0.216 0.784
0.784 0.216 0.216
0.216 0.216 0.784
0.784 0.784 0.216
0.216 0.784 0.784
0.216 0.784 0.216
0.000 0.000 0.000
0.500 0.500 0.500
0.750 0.750 0.750
0.250 0.250 0.250
```

**Volume**: 187 Å³/cell
**ΔE_f (raw)**: -2.98 eV per atom